Entry from OQMD: a relaxed Y2HfOs crystal (PBE).

The structure belongs to space group F-43m (No. 216); the cell edges are 7.0458, 7.0458 and 7.0458 Å and the angles 90.00°, 90.00° and 90.00°. The asymmetric unit holds Y at (0.0000, 0.0000, 0.0000), Y at (0.2500, 0.2500, 0.2500), Hf at (0.0000, 0.0000, 0.5000) and Os at (0.2500, 0.2500, 0.7500).

For the density, the calculation gives 10.4 g/cm³. As for the formation energy: 134 meV/atom. The calculated volume comes out at 349.8 Å³ per cell.